5
Lattice="4.936 0.000 0.000 0.000 4.936 0.000 0.000 0.000 4.936" Properties=species:S:1:pos:R:3 comment="BaFeRu3 | Alexandria via LeMat-Bulk | PBE | optimized geometry" formation_energy_ev_per_atom=3.2240 polymorph_energy_mev_per_atom=2225.1 dos_ef_per_ev_cell=15.170 pbc="T T T"
Ba 0.000 0.000 0.000
Fe 2.468 2.468 2.468
Ru 0.000 0.000 2.468
Ru 0.000 2.468 0.000
Ru 2.468 0.000 0.000

16
Lattice="9.431 0.000 0.000 0.000 10.717 0.000 0.000 0.000 2.698" Properties=species:S:1:pos:R:3 comment="AgPd4Pt3 | Alexandria via LeMat-Bulk | PBE | optimized geometry" formation_energy_ev_per_atom=0.2307 polymorph_energy_mev_per_atom=233.7 dos_ef_per_ev_cell=18.565 pbc="T T T"
Ag 0.000 0.000 0.000
Ag 4.715 5.358 0.000
Pd 0.000 2.734 0.000
Pd 0.000 7.983 0.000
Pd 2.309 5.358 1.349
Pd 2.406 0.000 1.349
Pd 4.715 2.625 0.000
Pd 4.715 8.092 0.000
Pd 7.025 0.000 1.349
Pd 7.122 5.358 1.349
Pt 0.000 5.358 0.000
Pt 2.358 2.679 1.349
Pt 2.358 8.038 1.349
Pt 4.715 0.000 0.000
Pt 7.073 2.679 1.349
Pt 7.073 8.038 1.349

24
Lattice="6.807 0.000 0.000 0.000 3.427 0.000 0.000 0.000 16.000" Properties=species:S:1:pos:R:3 comment="GaAsPd4 | Alexandria via LeMat-Bulk | PBE | optimized geometry" formation_energy_ev_per_atom=-0.5129 polymorph_energy_mev_per_atom=0.0 dos_ef_per_ev_cell=5.789 pbc="T T T"
Ga 1.616 0.857 3.051
Ga 1.787 2.571 11.051
Ga 5.019 0.857 4.949
Ga 5.191 2.571 12.950
As 1.704 0.857 15.052
As 1.699 2.571 7.052
As 5.107 0.857 8.948
As 5.103 2.571 0.948
Pd 0.187 2.571 9.111
Pd 0.282 2.571 4.598
Pd 0.860 2.571 0.945
Pd 0.866 2.571 13.427
Pd 2.538 0.857 5.427
Pd 2.544 0.857 8.945
Pd 3.122 0.857 12.598
Pd 3.216 0.857 1.111
Pd 3.590 2.571 14.890
Pd 3.685 2.571 3.403
Pd 4.263 2.571 7.055
Pd 4.269 2.571 10.573
Pd 5.941 0.857 2.573
Pd 5.947 0.857 15.055
Pd 6.525 0.857 11.403
Pd 6.620 0.857 6.890

5
Lattice="5.397 0.000 0.000 0.000 5.397 0.000 0.000 0.000 5.397" Properties=species:S:1:pos:R:3 comment="LaPa4 | Alexandria via LeMat-Bulk | PBE | optimized geometry" formation_energy_ev_per_atom=1.3610 dos_ef_per_ev_cell=14.286 pbc="T T T"
La 0.000 0.000 0.000
Pa 0.000 0.000 2.698
Pa 0.000 2.698 0.000
Pa 2.698 0.000 0.000
Pa 2.698 2.698 2.698

14
Lattice="6.219 0.000 0.000 0.000 6.597 0.000 -2.988 0.000 11.167" Properties=species:S:1:pos:R:3 comment="Pm4DyTm2 | Alexandria via LeMat-Bulk | PBE | optimized geometry" formation_energy_ev_per_atom=0.1283 polymorph_energy_mev_per_atom=71.9 dos_ef_per_ev_cell=20.404 pbc="T T T"
Pm -0.838 1.649 4.065
Pm -1.910 1.649 10.613
Pm 1.548 3.357 2.399
Pm 1.548 6.539 2.399
Pm 1.684 0.058 8.768
Pm 1.684 3.240 8.768
Pm 5.142 4.948 0.554
Pm 4.070 4.948 7.102
Dy -1.031 1.649 7.411
Dy 4.263 4.948 3.756
Tm -0.958 4.948 10.315
Tm 0.925 4.948 5.631
Tm 2.307 1.649 5.536
Tm 4.190 1.649 0.851

12
Lattice="3.613 0.000 0.000 -1.806 3.129 0.000 0.000 0.000 31.525" Properties=species:S:1:pos:R:3 comment="TbSm2Zn | Alexandria via LeMat-Bulk | PBE | optimized geometry" formation_energy_ev_per_atom=-0.0384 polymorph_energy_mev_per_atom=111.3 dos_ef_per_ev_cell=12.049 pbc="T T T"
Tb 0.000 0.000 0.000
Tb 0.000 2.086 21.017
Tb 1.806 1.043 10.508
Sm 0.000 0.000 7.560
Sm 0.000 0.000 23.965
Sm 0.000 2.086 13.457
Sm 0.000 2.086 28.576
Sm 1.806 1.043 2.949
Sm 1.806 1.043 18.068
Zn 0.000 0.000 15.762
Zn 0.000 2.086 5.254
Zn 1.806 1.043 26.271

5
Lattice="5.301 0.000 0.000 0.000 5.301 0.000 0.000 0.000 5.052" Properties=species:S:1:pos:R:3 comment="CaNbTe2Ir | Alexandria via LeMat-Bulk | PBE | optimized geometry" dos_ef_per_ev_cell=3.605 e_form_raw_mev_per_atom=560 pbc="T T T"
Ca 0.000 0.000 0.000
Nb 2.650 2.650 0.000
Te 0.000 2.650 2.526
Te 2.650 0.000 2.526
Ir 0.000 0.000 2.526

11
Lattice="4.157 -6.503 0.000 4.157 6.503 0.000 -2.190 0.000 5.657" Properties=species:S:1:pos:R:3 comment="Tb8IrPd2 | Alexandria via LeMat-Bulk | PBE | optimized geometry" formation_energy_ev_per_atom=-0.3964 polymorph_energy_mev_per_atom=96.8 dos_ef_per_ev_cell=13.001 pbc="T T T"
Tb 0.000 0.000 0.000
Tb -0.036 1.640 3.156
Tb 2.567 2.657 0.989
Tb -0.036 -1.640 3.156
Tb 3.047 1.645 4.354
Tb 2.567 -2.657 0.989
Tb 3.047 -1.645 4.354
Tb 5.149 0.000 2.004
Ir 2.204 0.000 1.992
Pd 1.508 4.001 3.832
Pd 1.508 -4.001 3.832

15
Lattice="6.705 0.000 0.000 -3.353 5.807 0.000 0.000 0.000 7.178" Properties=species:S:1:pos:R:3 comment="Li2Nd3ZnPd9 | Alexandria via LeMat-Bulk | PBE | optimized geometry" formation_energy_ev_per_atom=-0.4541 dos_ef_per_ev_cell=4.215 pbc="T T T"
Li 0.000 3.871 0.983
Li 3.353 1.936 6.196
Nd 0.000 0.000 0.000
Nd 0.000 3.871 4.814
Nd 3.353 1.936 2.365
Zn 0.000 0.000 3.589
Pd -1.676 2.903 0.000
Pd 0.000 2.108 2.397
Pd -1.527 4.753 2.397
Pd 1.826 1.054 4.782
Pd 3.353 0.000 0.000
Pd 1.676 2.903 0.000
Pd 1.527 4.753 2.397
Pd 4.879 1.054 4.782
Pd 3.353 3.699 4.782

12
Lattice="3.440 0.000 0.000 -1.720 2.979 0.000 0.000 0.000 33.479" Properties=species:S:1:pos:R:3 comment="LiTm2Hg | Alexandria via LeMat-Bulk | PBE | optimized geometry" formation_energy_ev_per_atom=0.0573 polymorph_energy_mev_per_atom=286.9 dos_ef_per_ev_cell=12.481 pbc="T T T"
Li 0.000 0.000 0.000
Li 0.000 1.986 22.320
Li 1.720 0.993 11.160
Tm 0.000 0.000 3.158
Tm 0.000 0.000 30.322
Tm 0.000 1.986 19.162
Tm 0.000 1.986 25.478
Tm 1.720 0.993 8.002
Tm 1.720 0.993 14.318
Hg 0.000 0.000 16.740
Hg 0.000 1.986 5.580
Hg 1.720 0.993 27.900